1.
Ba2ZnGeIr: optimized geometry, GGA-PBE.

Results
Space group: P4/mmm, No. 123
Total magnetization: 0.00 Bohr magnetons per cell
E: -3.946 eV/atom

a b c (Å): 6.1467 6.1467 4.7393
angles (deg): 90.00 90.00 90.00
With the nearest neighbours (Å) after each atom.
Sites, in units of the cell vectors:
Zn  0.5000  0.5000  0.5000  8 Ba 3.88, 4 Ge 4.35
Ge  0.0000  0.0000  0.5000  2 Ir 2.37
Ir  0.0000  0.0000  0.0000  2 Ge 2.37
Ba  0.0000  0.5000  0.0000  2 Ir 3.07
Ba  0.5000  0.0000  0.0000  2 Ir 3.07

=====

2.
BaZn2GeIr: optimized geometry, GGA-PBE.

Results
Space group: P4/mmm, No. 123
Total magnetization: 0.00 Bohr magnetons per cell
E: -3.969 eV/atom

a b c (Å): 4.9539 4.9539 4.7723
angles (deg): 90.00 90.00 90.00
With the nearest neighbours (Å) after each atom.
Sites, in units of the cell vectors:
Zn  0.0000  0.5000  0.0000  2 Ir 2.48
Zn  0.5000  0.0000  0.0000  2 Ir 2.48
Ge  0.0000  0.0000  0.5000  2 Ir 2.39
Ir  0.0000  0.0000  0.0000  2 Ge 2.39, 4 Zn 2.48
Ba  0.5000  0.5000  0.5000  8 Zn 3.44, 4 Ge 3.50

=====

3.
Ba3Zn2Ge4Ir2: optimized geometry, GGA-PBE.

Results
Space group: P-3m1, No. 164
Total magnetization: 0.00 Bohr magnetons per cell
E: -4.449 eV/atom

a b c (Å): 4.3141 4.3141 17.6524
angles (deg): 90.00 90.00 120.00
With the nearest neighbours (Å) after each atom.
Sites, in units of the cell vectors:
Ba  0.0000  0.0000  0.7090  6 Ge 3.42-3.61, 3 Ir 3.58, 3 Zn 3.61
Ba  0.0000  0.0000  0.0000  6 Ge 3.55, 6 Zn 3.55
Ba  0.0000  0.0000  0.2910  6 Ge 3.42-3.61, 3 Ir 3.58, 3 Zn 3.61
Zn  0.6667  0.3333  0.8566  3 Ge 2.49
Zn  0.3333  0.6667  0.1434  3 Ge 2.49
Ge  0.6667  0.3333  0.1429  3 Zn 2.49
Ge  0.3333  0.6667  0.8571  3 Zn 2.49
Ge  0.6667  0.3333  0.5758  4 Ir 2.46-2.50
Ge  0.3333  0.6667  0.4242  4 Ir 2.46-2.50
Ir  0.6667  0.3333  0.4365  4 Ge 2.46-2.50
Ir  0.3333  0.6667  0.5635  4 Ge 2.46-2.50

=====

4.
KBaGe3: optimized geometry, GGA-PBE.

Results
Space group: Pm-3m, No. 221
Total magnetization: 0.00 Bohr magnetons per cell
E: -2.569 eV/atom
Excess energy over the best structure of this formula in the dataset: 78 meV/atom

a b c (Å): 5.9668 5.9668 5.9668
angles (deg): 90.00 90.00 90.00
With the nearest neighbours (Å) after each atom.
Sites, in units of the cell vectors:
K  0.5000  0.5000  0.5000  12 Ge 4.22
Ge  0.0000  0.5000  0.0000  2 Ba 2.98
Ge  0.0000  0.0000  0.5000  2 Ba 2.98
Ge  0.5000  0.0000  0.0000  2 Ba 2.98
Ba  0.0000  0.0000  0.0000  6 Ge 2.98

=====

no.,formation energy (eV per atom)
1,-0.23
2,-0.38
3,-0.40
4,0.80